# 1
{
  "formula": "AcGa2As",
  "functional": "PBE-GGA",
  "state": "optimized geometry",
  "formation_enthalpy_0k_ev_per_atom": -0.33,
  "de_polymorph_ev_per_atom": 0.195,
  "dos_ef_per_ev_cell": 2.83,
  "sg": "P4/mmm, No. 123",
  "lattice_angstrom": [[-1.935, -1.678, 2.766], [-0.096, -3.191, -2.004], [5.785, -1.966, 2.854]],
  "species": ["Ga", "As", "Ac", "Ga"],
  "fractional_positions": [[0.000, 0.000, 0.809], [0.500, 0.500, 0.000], [0.500, 0.500, 0.500], [0.000, 0.000, 0.191]]
}

=====

# 2
{
  "formula": "ScAlIn2",
  "functional": "PBE-GGA",
  "state": "optimized geometry",
  "formation_enthalpy_0k_ev_per_atom": -0.25,
  "dos_ef_per_ev_cell": 2.19,
  "sg": "I-4m2, No. 119",
  "lattice_angstrom": [[5.610, -0.017, 0.022], [3.997, 3.936, 0.022], [1.612, 0.658, 3.898]],
  "species": ["Al", "Sc", "In", "In"],
  "fractional_positions": [[0.750, 0.750, 0.750], [0.500, 0.500, 0.500], [0.250, 0.250, 0.250], [0.000, 0.000, 0.000]]
}

=====

# 3
{
  "formula": "AgPb",
  "functional": "PBE-GGA",
  "state": "optimized geometry",
  "formation_enthalpy_0k_ev_per_atom": 0.12,
  "dos_ef_per_ev_cell": 1.04,
  "sg": "R-3m, No. 166",
  "lattice_angstrom": [[6.204, 0.080, 0.052], [4.404, 4.371, 0.052], [4.404, 1.848, 3.962]],
  "species": ["Pb", "Ag", "Pb", "Ag"],
  "fractional_positions": [[0.104, 0.104, 0.104], [0.306, 0.306, 0.306], [0.896, 0.896, 0.896], [0.694, 0.694, 0.694]]
}

=====

# 4
{
  "formula": "Tb2HgO4",
  "functional": "PBE-GGA",
  "state": "optimized geometry",
  "dft_energy_ev_per_atom": -6.8402,
  "dos_ef_per_ev_cell": 0.00,
  "sg": "C2/m, No. 12",
  "lattice_angstrom": [[0.481, 0.712, 3.568], [0.757, -6.369, 3.057], [8.850, -0.637, 0.821]],
  "species": ["O", "O", "Tb", "Tb", "O", "O", "Hg", "Tb", "O", "O", "O", "Hg", "O", "Tb"],
  "fractional_positions": [[0.582, 0.489, 0.347], [0.203, 0.648, 0.945], [0.841, 0.518, 0.800], [0.381, 0.776, 0.462], [0.769, 0.851, 0.612], [0.797, 0.352, 0.055], [0.886, 0.066, 0.162], [0.159, 0.482, 0.200], [0.418, 0.511, 0.653], [0.965, 0.788, 0.283], [0.035, 0.212, 0.717], [0.114, 0.934, 0.838], [0.231, 0.149, 0.388], [0.619, 0.224, 0.538]]
}

=====

# 5
{
  "formula": "CaHoTeSe",
  "functional": "PBE-GGA",
  "state": "optimized geometry",
  "dft_energy_ev_per_atom": -4.8355,
  "dos_ef_per_ev_cell": 2.72,
  "sg": "R3m, No. 160",
  "lattice_angstrom": [[4.141, -0.001, 0.000], [-2.070, 3.587, 0.000], [-2.069, -1.195, 7.563]],
  "species": ["Ca", "Te", "Ho", "Se"],
  "fractional_positions": [[0.973, 0.385, 0.373], [0.130, 0.963, 0.107], [0.297, 0.547, 0.859], [0.478, 0.137, 0.630]]
}

=====

# 6
{
  "formula": "LiAcCd6",
  "functional": "PBE-GGA",
  "state": "optimized geometry",
  "formation_enthalpy_0k_ev_per_atom": -0.17,
  "dos_ef_per_ev_cell": 4.53,
  "sg": "P4/mmm, No. 123",
  "lattice_angstrom": [[-0.163, 1.066, 4.522], [-4.385, -1.529, 0.202], [3.092, -8.585, 2.136]],
  "species": ["Cd", "Cd", "Cd", "Li", "Cd", "Cd", "Ac", "Cd"],
  "fractional_positions": [[0.000, 0.500, 0.338], [0.500, 0.000, 0.662], [0.500, 0.000, 0.338], [0.000, 0.000, 0.500], [0.000, 0.500, 0.662], [0.500, 0.500, 0.149], [0.000, 0.000, 0.000], [0.500, 0.500, 0.851]]
}

=====

# 7
{
  "formula": "ScBe4Al",
  "functional": "PBE-GGA",
  "state": "optimized geometry",
  "formation_enthalpy_0k_ev_per_atom": -0.02,
  "dos_ef_per_ev_cell": 2.28,
  "sg": "F-43m, No. 216",
  "lattice_angstrom": [[0.000, 3.265, 3.265], [3.265, 0.000, 3.265], [3.265, 3.265, 0.000]],
  "species": ["Be", "Al", "Be", "Sc", "Be", "Be"],
  "fractional_positions": [[0.622, 0.135, 0.622], [0.000, 0.000, 0.000], [0.622, 0.622, 0.135], [0.250, 0.250, 0.250], [0.622, 0.622, 0.622], [0.135, 0.622, 0.622]]
}

=====

# 8
{
  "formula": "HfFeCo2Mo",
  "functional": "PBE-GGA",
  "state": "optimized geometry",
  "formation_enthalpy_0k_ev_per_atom": 0.97,
  "dos_ef_per_ev_cell": 5.48,
  "sg": "P4/mmm, No. 123",
  "lattice_angstrom": [[4.381, 0.000, 0.000], [0.000, 4.354, 0.000], [0.000, 0.000, 4.381]],
  "species": ["Co", "Hf", "Mo", "Fe", "Co"],
  "fractional_positions": [[0.500, 0.000, 0.000], [0.500, 0.500, 0.500], [0.000, 0.000, 0.000], [0.000, 0.500, 0.000], [0.000, 0.000, 0.500]]
}

=====

# 9
{
  "formula": "Sm2LuZn",
  "functional": "PBE-GGA",
  "state": "optimized geometry",
  "formation_enthalpy_0k_ev_per_atom": -0.02,
  "de_polymorph_ev_per_atom": 0.120,
  "dos_ef_per_ev_cell": 4.76,
  "sg": "R-3m, No. 166",
  "lattice_angstrom": [[3.585, 0.000, 0.000], [1.793, 3.105, 0.000], [1.793, 1.035, 10.429]],
  "species": ["Sm", "Zn", "Sm", "Lu"],
  "fractional_positions": [[0.259, 0.259, 0.223], [0.000, 0.000, 0.000], [0.741, 0.741, 0.777], [0.500, 0.500, 0.500]]
}

=====

# 10
{
  "formula": "CaTlSi2",
  "functional": "PBE-GGA",
  "state": "optimized geometry",
  "de_polymorph_ev_per_atom": 0.174,
  "dos_ef_per_ev_cell": 1.41,
  "sg": "Pmmm, No. 47",
  "lattice_angstrom": [[-2.750, -3.523, 1.491], [1.986, -2.120, -1.346], [3.211, -0.303, 5.206]],
  "species": ["Tl", "Si", "Si", "Ca"],
  "fractional_positions": [[0.500, 0.250, 0.250], [0.000, 0.250, 0.943], [0.000, 0.250, 0.557], [0.500, 0.750, 0.750]]
}

=====

# 11
{
  "formula": "BaIN",
  "functional": "PBE-GGA",
  "state": "optimized geometry",
  "dft_energy_ev_per_atom": -4.8827,
  "dos_ef_per_ev_cell": 4.13,
  "sg": "C2/m, No. 12",
  "lattice_angstrom": [[-1.140, 2.108, 4.416], [-4.553, -2.122, -0.078], [6.318, -7.634, 2.388]],
  "species": ["I", "I", "Ba", "N", "Ba", "N"],
  "fractional_positions": [[0.329, 0.329, 0.159], [0.671, 0.671, 0.841], [0.135, 0.135, 0.768], [0.085, 0.085, 0.500], [0.865, 0.865, 0.232], [0.915, 0.915, 0.500]]
}

=====

# 12
{
  "formula": "ZnCrH2Cl",
  "functional": "PBE-GGA",
  "state": "optimized geometry",
  "dft_energy_ev_per_atom": -3.6912,
  "dos_ef_per_ev_cell": 1.44,
  "sg": "P4/mmm, No. 123",
  "lattice_angstrom": [[-0.323, -2.481, -2.582], [0.225, -4.164, 3.972], [-3.578, 0.122, 0.330]],
  "species": ["Cr", "H", "Cl", "Zn", "H"],
  "fractional_positions": [[0.000, 0.000, 0.000], [0.500, 0.000, 0.000], [0.500, 0.500, 0.500], [0.000, 0.500, 0.000], [0.000, 0.000, 0.500]]
}

=====

# 13
{
  "formula": "Na3U2TiSe6",
  "functional": "PBE-GGA",
  "state": "optimized geometry",
  "dft_energy_ev_per_atom": -5.7914,
  "dos_ef_per_ev_cell": 9.76,
  "sg": "C2/m, No. 12",
  "lattice_angstrom": [[6.944, -0.003, -0.002], [-3.473, 6.014, -0.002], [-1.160, -2.008, 7.108]],
  "species": ["Na", "Se", "Se", "Na", "Se", "Se", "Se", "U", "Ti", "U", "Se", "Na"],
  "fractional_positions": [[0.830, 0.170, 0.500], [0.240, 0.240, 0.773], [0.760, 0.760, 0.227], [0.500, 0.500, 0.500], [0.076, 0.392, 0.228], [0.924, 0.608, 0.772], [0.392, 0.076, 0.228], [0.334, 0.666, 0.000], [0.000, 0.000, 0.000], [0.666, 0.334, 0.000], [0.608, 0.924, 0.772], [0.170, 0.830, 0.500]]
}

=====

# 14
{
  "formula": "Rb2Pa2Br2O5",
  "functional": "PBE-GGA",
  "state": "optimized geometry",
  "dft_energy_ev_per_atom": -7.2450,
  "dos_ef_per_ev_cell": 0.00,
  "sg": "I4/mmm, No. 139",
  "lattice_angstrom": [[4.363, 0.000, 0.000], [0.000, 4.363, 0.000], [-2.182, -2.182, 13.628]],
  "species": ["Br", "Rb", "O", "Br", "Rb", "Pa", "Pa", "O", "O", "O", "O"],
  "fractional_positions": [[0.193, 0.193, 0.386], [0.666, 0.666, 0.333], [0.586, 0.086, 0.172], [0.807, 0.807, 0.614], [0.334, 0.334, 0.667], [0.923, 0.923, 0.845], [0.077, 0.077, 0.155], [0.414, 0.914, 0.828], [0.000, 0.000, 0.000], [0.086, 0.586, 0.172], [0.914, 0.414, 0.828]]
}

=====

# 15
{
  "formula": "HfTiHgPb",
  "functional": "PBE-GGA",
  "state": "optimized geometry",
  "formation_enthalpy_0k_ev_per_atom": 0.15,
  "dos_ef_per_ev_cell": 4.16,
  "sg": "F-43m, No. 216",
  "lattice_angstrom": [[4.936, 0.000, 0.000], [2.468, 4.275, 0.000], [2.468, 1.425, 4.030]],
  "species": ["Hg", "Ti", "Pb", "Hf"],
  "fractional_positions": [[0.250, 0.250, 0.250], [0.000, 0.000, 0.000], [0.750, 0.750, 0.750], [0.500, 0.500, 0.500]]
}

=====

# 16
{
  "formula": "BaPdF4",
  "functional": "PBE-GGA",
  "state": "optimized geometry",
  "de_polymorph_ev_per_atom": 0.000,
  "sg": "I4/mcm, No. 140",
  "lattice_angstrom": [[-6.274, 3.068, -1.195], [-1.800, -2.625, -6.330], [1.995, -3.622, 5.753]],
  "species": ["F", "Pd", "F", "Pd", "Ba", "F", "F", "F", "Ba", "F", "F", "F"],
  "fractional_positions": [[0.711, 0.211, 0.178], [0.000, 0.500, 0.500], [0.211, 0.033, 0.500], [0.500, 0.000, 0.500], [0.250, 0.250, 0.000], [0.033, 0.533, 0.822], [0.467, 0.289, 0.500], [0.967, 0.467, 0.178], [0.750, 0.750, 0.000], [0.789, 0.967, 0.500], [0.289, 0.789, 0.822], [0.533, 0.711, 0.500]]
}

=====

# 17
{
  "formula": "KRbIN2",
  "functional": "PBE-GGA",
  "state": "optimized geometry",
  "de_polymorph_ev_per_atom": 0.000,
  "dos_ef_per_ev_cell": 2.48,
  "sg": "P4/mmm, No. 123",
  "lattice_angstrom": [[5.476, 0.000, 0.000], [0.000, 5.476, 0.000], [0.000, 0.000, 7.063]],
  "species": ["N", "I", "Rb", "K", "N"],
  "fractional_positions": [[0.500, 0.000, 0.000], [0.000, 0.000, 0.500], [0.500, 0.500, 0.500], [0.000, 0.000, 0.000], [0.000, 0.500, 0.000]]
}

=====

# 18
{
  "formula": "KSrRuRh2",
  "functional": "PBE-GGA",
  "state": "optimized geometry",
  "formation_enthalpy_0k_ev_per_atom": 1.92,
  "dos_ef_per_ev_cell": 4.76,
  "sg": "P4/mmm, No. 123",
  "lattice_angstrom": [[-1.660, 1.755, 4.381], [-5.038, -1.488, -1.313], [0.778, -4.479, 2.089]],
  "species": ["Sr", "Rh", "K", "Ru", "Rh"],
  "fractional_positions": [[0.000, 0.000, 0.000], [0.500, 0.000, 0.000], [0.000, 0.500, 0.000], [0.500, 0.500, 0.500], [0.000, 0.000, 0.500]]
}

=====

# 19
{
  "formula": "TbErIrPb",
  "functional": "PBE-GGA",
  "state": "optimized geometry",
  "formation_enthalpy_0k_ev_per_atom": -0.69,
  "de_polymorph_ev_per_atom": 0.000,
  "dos_ef_per_ev_cell": 1.58,
  "sg": "P4mm, No. 99",
  "lattice_angstrom": [[3.489, 0.000, 0.000], [0.000, 3.489, 0.000], [0.000, 0.000, 8.013]],
  "species": ["Ir", "Pb", "Er", "Tb"],
  "fractional_positions": [[0.000, 0.000, 0.566], [0.000, 0.000, 0.075], [0.500, 0.500, 0.367], [0.500, 0.500, 0.776]]
}

=====

# 20
{
  "formula": "OsIBrN2",
  "functional": "PBE-GGA",
  "state": "optimized geometry",
  "de_polymorph_ev_per_atom": 1.822,
  "dos_ef_per_ev_cell": 3.98,
  "sg": "P4/mmm, No. 123",
  "lattice_angstrom": [[3.873, 0.000, 0.000], [0.000, 3.873, 0.000], [0.000, 0.000, 7.395]],
  "species": ["N", "I", "Br", "N", "Os"],
  "fractional_positions": [[0.000, 0.500, 0.000], [0.000, 0.000, 0.500], [0.000, 0.000, 0.000], [0.500, 0.000, 0.000], [0.500, 0.500, 0.500]]
}